A plane-wave DFT calculation with GGA-PBE was carried out for Nd3BiAs2 after structural relaxation.

Output
* size of the total moment: 0.0 μB per formula unit
* raw total energy: -5.921 eV/atom
* space group: P-3m1 (164)

Cell: 4.346 4.346 10.850 Å, 90.00 90.00 120.00°
Positions (direct):
Nd 0.667 0.333 0.687
As 0.667 0.333 0.159
As 0.333 0.667 0.841
Nd 0.000 0.000 0.000
Nd 0.333 0.667 0.313
Bi 0.000 0.000 0.500